(1)
Below is a relaxed CdMo2P2 crystal, with properties calculated at the PBE level.

Properties
- total magnetization (μB per atom) = 0.000
- formation energy (eV/atom) = -0.089

a b c (Å): 7.1823 7.1823 3.0348
angles (deg): 90.00 90.00 90.00
Space group P4/mbm (No. 127)
One atom of each set of equivalent atoms:
Cd: 0.0000 0.0000 0.0000 [2 per cell]
Mo: 0.1421 0.3579 0.0000 [4 per cell]
P: 0.1436 0.6436 0.5000 [4 per cell]


(2)
Below is a relaxed Cd3MoP crystal, with properties calculated at the PBE level.

Properties
- total magnetization (μB per atom) = 0.301
- offset from the most stable computed form (meV/atom) = 341.1
- formation energy (eV/atom) = 1.431

a b c (Å): 5.4124 5.4124 5.4124
angles (deg): 90.00 90.00 90.00
Space group Pm-3m (No. 221)
One atom of each set of equivalent atoms:
Cd: 0.0000 0.0000 0.5000 [3 per cell]
Mo: 0.0000 0.0000 0.0000 [1 per cell]
P: 0.5000 0.5000 0.5000 [1 per cell]


(3)
Below is a relaxed Cd3MoP crystal, with properties calculated at the PBE level.

Properties
- total magnetization (μB per atom) = 0.758
- offset from the most stable computed form (meV/atom) = 0.0
- formation energy (eV/atom) = 1.090

a b c (Å): 5.0378 5.0378 5.0378
angles (deg): 90.00 90.00 90.00
Space group Pm-3m (No. 221)
One atom of each set of equivalent atoms:
Cd: 0.0000 0.0000 0.5000 [3 per cell]
Mo: 0.5000 0.5000 0.5000 [1 per cell]
P: 0.0000 0.0000 0.0000 [1 per cell]


(4)
Below is a relaxed CdMoP2 crystal, with properties calculated at the PBE level.

Properties
- total magnetization (μB per atom) = 0.000
- formation energy (eV/atom) = -0.048

a b c (Å): 3.1328 3.4962 12.9185
angles (deg): 90.00 90.00 90.00
Space group Imm2 (No. 44)
One atom of each set of equivalent atoms:
Cd: 0.0000 0.0000 0.0000 [2 per cell]
Mo: 0.0000 0.5000 0.7364 [2 per cell]
P: 0.0000 0.0000 0.3789 [2 per cell]
P: 0.0000 0.5000 0.1694 [2 per cell]


(5)
Below is a relaxed Cd2MoPPb crystal, with properties calculated at the PBE level.

Properties
- total magnetization (μB per atom) = 0.000
- formation energy (eV/atom) = 0.459

a b c (Å): 5.3715 5.3715 4.5701
angles (deg): 90.00 90.00 90.00
Space group P4/mmm (No. 123)
One atom of each set of equivalent atoms:
Cd: 0.0000 0.5000 0.0000 [2 per cell]
Mo: 0.0000 0.0000 0.0000 [1 per cell]
P: 0.0000 0.0000 0.5000 [1 per cell]
Pb: 0.5000 0.5000 0.5000 [1 per cell]


(6)
Below is a relaxed CdMo2PPd crystal, with properties calculated at the PBE level.

Properties
- total magnetization (μB per atom) = 0.823
- formation energy (eV/atom) = 1.647

a b c (Å): 4.8469 4.8469 4.9378
angles (deg): 90.00 90.00 90.00
Space group P4/mmm (No. 123)
One atom of each set of equivalent atoms:
Cd: 0.0000 0.0000 0.0000 [1 per cell]
Mo: 0.0000 0.5000 0.5000 [2 per cell]
P: 0.5000 0.5000 0.0000 [1 per cell]
Pd: 0.0000 0.0000 0.5000 [1 per cell]


(7)
Below is a relaxed Cd2ReMoP crystal, with properties calculated at the PBE level.

Properties
- total magnetization (μB per atom) = 0.979
- formation energy (eV/atom) = 1.633

a b c (Å): 5.2816 5.2816 4.5171
angles (deg): 90.00 90.00 90.00
Space group P4/mmm (No. 123)
One atom of each set of equivalent atoms:
Cd: 0.0000 0.5000 0.0000 [2 per cell]
Re: 0.0000 0.0000 0.5000 [1 per cell]
Mo: 0.5000 0.5000 0.0000 [1 per cell]
P: 0.5000 0.5000 0.5000 [1 per cell]


(8)
Below is a relaxed Cd2MoPRh crystal, with properties calculated at the PBE level.

Properties
- total magnetization (μB per atom) = 0.373
- formation energy (eV/atom) = 1.030

a b c (Å): 5.0663 5.0663 4.6936
angles (deg): 90.00 90.00 90.00
Space group P4/mmm (No. 123)
One atom of each set of equivalent atoms:
Cd: 0.0000 0.5000 0.0000 [2 per cell]
Mo: 0.0000 0.0000 0.5000 [1 per cell]
P: 0.5000 0.5000 0.5000 [1 per cell]
Rh: 0.0000 0.0000 0.0000 [1 per cell]